# Zr2ReBr | Alexandria via LeMat-Bulk | GGA-PBE | optimized geometry
# **Formation energy (no corrections)**: 19 meV/atom
# **Total energy**: -7.785 eV/atom
data_Zr2ReBr
_chemical_formula_sum 'Zr2 Re1 Br1'
_symmetry_space_group_name_H-M 'P 1'
_symmetry_Int_Tables_number 1
_symmetry_space_group_name_Hall 'P 1'
_cell_length_a 4.9585
_cell_length_b 3.2372
_cell_length_c 5.0743
_cell_angle_alpha 80.23
_cell_angle_beta 90.00
_cell_angle_gamma 90.00
loop_
_atom_site_label
_atom_site_fract_x
_atom_site_fract_y
_atom_site_fract_z
Zr1 0.5000 0.1025 0.3512
Re1 0.5000 0.5466 0.8697
Br1 0.0000 0.7574 0.4096
Zr2 0.0000 0.0935 0.8695

***

# ZrRe2Br | Alexandria via LeMat-Bulk | GGA-PBE | optimized geometry
# **Formation energy (no corrections)**: 1120 meV/atom
# **Total energy**: -7.659 eV/atom
data_ZrRe2Br
_chemical_formula_sum 'Zr2 Re4 Br2'
_symmetry_space_group_name_H-M 'P 1'
_symmetry_Int_Tables_number 1
_symmetry_space_group_name_Hall 'P 1'
_cell_length_a 7.7191
_cell_length_b 7.7191
_cell_length_c 6.0326
_cell_angle_alpha 50.22
_cell_angle_beta 50.22
_cell_angle_gamma 90.00
loop_
_atom_site_label
_atom_site_fract_x
_atom_site_fract_y
_atom_site_fract_z
Zr1 0.7500 0.2500 0.5000
Re1 0.1481 0.6250 0.2500
Br1 0.5000 0.5000 0.0000
Re2 0.6019 0.1250 0.2500
Re3 0.8750 0.8519 0.7500
Br2 0.2500 0.7500 0.5000
Re4 0.3750 0.3981 0.7500
Zr2 0.0000 0.0000 0.0000